# 1
First-principles (GGA-PBE) data for a relaxed Sc2ReP crystal, as listed in the Alexandria database.

Output
energy of formation	-173	meV/atom
space-group type	F-43m, No. 216

Cell lengths 4.485, 4.485, 4.485 Å; angles 60.00, 60.00, 60.00 degrees
Sites, in units of the cell vectors:
Re1 0.750 0.750 0.750
Sc1 0.000 0.000 0.000
Sc2 0.250 0.250 0.250
P1 0.500 0.500 0.500

---

# 2
First-principles (GGA-PBE) data for a relaxed Ga2Si2Hg crystal, as listed in the Alexandria database.

Output
uncorrected formation energy	185	meV per atom
space-group type	I4/mmm, No. 139

Cell lengths 4.500, 4.500, 5.894 Å; angles 67.56, 67.56, 90.00 degrees
Sites, in units of the cell vectors:
Si1 0.618 0.618 0.764
Si2 0.382 0.382 0.236
Ga1 0.250 0.750 0.500
Ga2 0.750 0.250 0.500
Hg1 0.000 0.000 0.000

---

# 3
First-principles (GGA-PBE) data for a relaxed Ba2Ni crystal, as listed in the Alexandria database.

Output
energy of formation	144	meV/atom
space-group type	I4_1/amd, No. 141

Cell lengths 15.865, 15.865, 15.865 Å; angles 165.98, 165.98, 19.88 degrees
Sites, in units of the cell vectors:
Ba1 0.308 0.808 0.500
Ba2 0.442 0.442 0.000
Ba3 0.558 0.558 0.000
Ba4 0.192 0.692 0.500
Ni1 0.750 0.250 0.500
Ni2 0.000 0.000 0.000

---

# 4
First-principles (GGA-PBE) data for a relaxed HfThC2 crystal, as listed in the Alexandria database.

Output
energy of formation	-456	meV/atom
space-group type	R-3m, No. 166

Cell lengths 3.518, 3.518, 6.204 Å; angles 73.53, 73.53, 60.00 degrees
Sites, in units of the cell vectors:
C1 0.260 0.260 0.220
C2 0.740 0.740 0.780
Hf1 0.000 0.000 0.000
Th1 0.500 0.500 0.500

---

# 5
First-principles (GGA-PBE) data for a relaxed PrDyZnHg crystal, as listed in the Alexandria database.

Output
energy of formation	-402	meV/atom
space-group type	P4mm, No. 99

Cell lengths 3.672, 3.672, 7.598 Å; angles 90.00, 90.00, 90.00 degrees
Sites, in units of the cell vectors:
Dy1 0.500 0.500 0.591
Hg1 0.000 0.000 0.836
Zn1 0.000 0.000 0.376
Pr1 0.500 0.500 0.125

---

# 6
First-principles (GGA-PBE) data for a relaxed Th4ReGe8 crystal, as listed in the Alexandria database.

Output
energy of formation	-505	meV/atom
space-group type	Pmm2, No. 25

Cell lengths 4.158, 4.240, 16.840 Å; angles 90.00, 90.00, 90.00 degrees
Sites, in units of the cell vectors:
Th1 0.500 0.000 0.893
Th2 0.000 0.000 0.101
Th3 0.000 0.500 0.612
Th4 0.500 0.500 0.396
Ge1 0.000 0.000 0.462
Ge2 0.000 0.500 0.235
Ge3 0.500 0.500 0.753
Ge4 0.500 0.000 0.556
Ge5 0.000 0.500 0.947
Ge6 0.000 0.000 0.753
Ge7 0.500 0.500 0.048
Ge8 0.500 0.000 0.233
Re1 0.000 0.000 0.315

---

Number 1: D(E_F) 1.8 states/eV per cell. Number 2: D(E_F) 1.9 states/eV per cell. Number 3: D(E_F) 6.7 states/eV per cell. Number 4: D(E_F) 1.3 states/eV per cell. Number 5: D(E_F) 4.1 states/eV per cell. Number 6: D(E_F) 8.6 states/eV per cell.